Record 1
A plane-wave DFT calculation with PBE was carried out for an optimized crystal structure of Ca2SiHg.

Unit cell a=5.303 b=5.303 c=10.057 alpha=74.71 beta=74.71 gamma=90.00
Fractional coordinates of all 8 atoms:
Ca (0.375, 0.397, 0.750)
Ca (0.603, 0.125, 0.250)
Ca (0.147, 0.625, 0.250)
Ca (0.875, 0.853, 0.750)
Si (0.250, 0.750, 0.500)
Hg (0.750, 0.250, 0.500)
Hg (0.000, 0.000, 0.000)
Si (0.500, 0.500, 0.000)

Formation energy without anion corrections (eV/atom): 0.11
SG: No. 122
Total DFT energy (no corrections) (eV/cell): -18.599
Spin magnetization (μB per cell): 0.00


Record 2
A plane-wave DFT calculation with PBE was carried out for an optimized crystal structure of Y4Rh2N.

Unit cell a=4.610 b=4.610 c=7.980 alpha=73.21 beta=73.21 gamma=90.00
Fractional coordinates of all 7 atoms:
Rh (0.365, 0.365, 0.270)
Y (0.176, 0.176, 0.648)
Rh (0.635, 0.635, 0.730)
Y (0.824, 0.824, 0.352)
Y (0.000, 0.500, 0.000)
Y (0.500, 0.000, 0.000)
N (0.000, 0.000, 0.000)

Formation energy without anion corrections (eV/atom): -0.80
SG: No. 139
Total DFT energy (no corrections) (eV/cell): -54.479
Spin magnetization (μB per cell): 0.00


Record 3
A plane-wave DFT calculation with PBE was carried out for an optimized crystal structure of PaFe2Ni5.

Unit cell a=3.516 b=5.793 c=5.793 alpha=74.81 beta=72.33 gamma=72.33
Last column: magnetic moment on the atom in μB.
Fractional coordinates of all 8 atoms:
Ni (0.351, 0.828, 0.471)  0.53
Ni (0.649, 0.529, 0.172)  0.53
Fe (0.723, 0.777, 0.777)  1.68
Pa (0.000, 0.000, 0.000)  -0.51
Ni (0.000, 0.500, 0.500)  0.48
Ni (0.351, 0.471, 0.828)  0.53
Fe (0.277, 0.223, 0.223)  1.68
Ni (0.649, 0.172, 0.529)  0.53

Calculated formation energy (eV per formula unit): -0.33
SG: No. 71
Total DFT energy (no corrections) (eV/cell): -55.659
Spin magnetization (μB per cell): 5.14


Record 4
A plane-wave DFT calculation with PBE was carried out for an optimized crystal structure of CsVOs2I.

Unit cell a=5.084 b=5.307 c=5.084 alpha=90.00 beta=90.00 gamma=90.00
Last column: magnetic moment on the atom in μB.
Fractional coordinates of all 5 atoms:
Os (0.500, 0.000, 0.000)  1.26
Os (0.000, 0.000, 0.500)  1.16
V (0.000, 0.500, 0.000)  2.84
I (0.500, 0.500, 0.500)  0.09
Cs (0.000, 0.000, 0.000)  0.02

Formation energy without anion corrections (eV/atom): 3.37
SG: No. 123
Total DFT energy (no corrections) (eV/cell): -17.152
Spin magnetization (μB per cell): 6.16


Record 5
A plane-wave DFT calculation with PBE was carried out for an optimized crystal structure of TlCdInSe2.

Unit cell a=5.496 b=5.652 c=5.496 alpha=90.00 beta=90.00 gamma=90.00
Fractional coordinates of all 5 atoms:
In (0.500, 0.500, 0.500)
Tl (0.000, 0.000, 0.000)
Cd (0.000, 0.500, 0.000)
Se (0.500, 0.000, 0.000)
Se (0.000, 0.000, 0.500)

Formation energy without anion corrections (eV/atom): 0.25
SG: No. 123
Total DFT energy (no corrections) (eV/cell): -11.740
Spin magnetization (μB per cell): 0.00


Record 6
A plane-wave DFT calculation with PBE was carried out for an optimized crystal structure of GaPHPtS.

Unit cell a=4.724 b=3.408 c=5.227 alpha=90.00 beta=90.62 gamma=90.00
Fractional coordinates of all 5 atoms:
Pt (0.648, 0.500, 0.390)
Ga (0.346, 0.000, 0.686)
P (0.453, 0.000, 0.148)
H (0.154, 0.000, 0.193)
S (0.003, 0.500, 0.718)

SG: No. 6
Total DFT energy (no corrections) (eV/cell): -23.262
Spin magnetization (μB per cell): 0.00


Record 7
A plane-wave DFT calculation with PBE was carried out for an optimized crystal structure of LaNd6Y4.

Unit cell a=7.662 b=7.662 c=8.729 alpha=116.03 beta=116.03 gamma=90.00
Fractional coordinates of all 11 atoms:
Y (0.245, 0.245, 0.162)
Nd (0.544, 0.544, 0.628)
Y (0.083, 0.755, 0.838)
Y (0.917, 0.917, 0.162)
Nd (0.456, 0.916, 0.372)
Nd (0.500, 0.000, 0.000)
Y (0.755, 0.083, 0.838)
Nd (0.000, 0.500, 0.000)
La (0.500, 0.500, 0.000)
Nd (0.916, 0.456, 0.372)
Nd (0.084, 0.084, 0.628)

Calculated formation energy (eV per formula unit): 3.99
SG: No. 121
Total DFT energy (no corrections) (eV/cell): -55.401
Spin magnetization (μB per cell): 0.00


Record 8
A plane-wave DFT calculation with PBE was carried out for an optimized crystal structure of YI2NO.

Unit cell a=6.041 b=6.041 c=4.605 alpha=90.00 beta=90.00 gamma=90.00
Last column: magnetic moment on the atom in μB.
Fractional coordinates of all 5 atoms:
Y (0.000, 0.000, 0.000)  -0.01
I (0.000, 0.500, 0.000)  0.18
O (0.500, 0.500, 0.500)  1.42
N (0.000, 0.000, 0.500)  1.10
I (0.500, 0.000, 0.000)  0.18

Formation energy without anion corrections (eV/atom): 0.37
SG: No. 123
Total DFT energy (no corrections) (eV/cell): -21.006
Spin magnetization (μB per cell): 4.00